(1)
PBE-GGA Tl2CdAg, optimized geometry; energy relative to the elements = 0.12 eV per atom; ρ = 10.2 Mg/m³; symmetry = Pmmm (47); ΔE to the lowest computed polymorph = 65 meV/atom
1.0
3.876 0.000 0.000
0.000 5.094 0.000
0.000 0.000 5.186
Tl Cd Ag
2 1 1
Direct
0.000 0.000 0.000 Tl
0.500 0.000 0.500 Tl
0.000 0.500 0.500 Cd
0.500 0.500 0.000 Ag

---

(2)
PBE-GGA TlCd2Ag, optimized geometry; energy relative to the elements = 0.05 eV per atom; ρ = 9.5 Mg/m³; symmetry = R3m (160); ΔE to the lowest computed polymorph = 32 meV/atom
1.0
1.636 0.944 10.100
-1.636 0.944 10.100
0.000 -1.889 10.100
Tl Cd Ag
1 2 1
Direct
0.000 0.000 0.000 Tl
0.241 0.241 0.241 Cd
0.426 0.426 0.426 Cd
0.834 0.834 0.834 Ag

---

(3)
PBE-GGA TlCd2Ag, optimized geometry; energy relative to the elements = 0.07 eV per atom; ρ = 9.7 Mg/m³; symmetry = Cm (8); ΔE to the lowest computed polymorph = 46 meV/atom
1.0
5.046 -1.672 0.000
5.046 1.672 0.000
-0.878 0.000 5.467
Tl Cd Ag
1 2 1
Direct
0.000 0.000 0.000 Tl
0.240 0.240 0.718 Cd
0.489 0.489 0.481 Cd
0.751 0.751 0.260 Ag

---

(4)
PBE-GGA Tl2CdAg, optimized geometry; energy relative to the elements = 0.08 eV per atom; ρ = 10.2 Mg/m³; symmetry = Cm (8); ΔE to the lowest computed polymorph = 25 meV/atom
1.0
6.164 -1.670 0.000
6.164 1.670 0.000
-2.098 0.000 4.978
Tl Cd Ag
2 1 1
Direct
0.000 0.000 0.000 Tl
0.217 0.217 0.693 Tl
0.447 0.447 0.452 Cd
0.736 0.736 0.207 Ag

---

(5)
PBE-GGA TlCd6Ag12, optimized geometry; energy relative to the elements = 0.04 eV per atom; ρ = 9.4 Mg/m³; symmetry = R-3 (148)
1.0
5.760 3.326 3.324
-5.760 3.326 3.324
0.000 -6.651 3.324
Tl Cd Ag
1 6 12
Direct
0.000 0.000 0.000 Tl
0.174 0.175 0.435 Cd
0.175 0.435 0.174 Cd
0.435 0.174 0.175 Cd
0.565 0.826 0.825 Cd
0.825 0.565 0.826 Cd
0.826 0.825 0.565 Cd
0.000 0.263 0.737 Ag
0.000 0.737 0.263 Ag
0.184 0.594 0.593 Ag
0.263 0.000 0.737 Ag
0.263 0.737 0.000 Ag
0.406 0.407 0.816 Ag
0.407 0.816 0.406 Ag
0.593 0.184 0.594 Ag
0.594 0.593 0.184 Ag
0.737 0.000 0.263 Ag
0.737 0.263 0.000 Ag
0.816 0.406 0.407 Ag

---

(6)
PBE-GGA TlCd2Ag, optimized geometry; energy relative to the elements = 0.02 eV per atom; ρ = 9.7 Mg/m³; symmetry = R-3m (166); ΔE to the lowest computed polymorph = 0 meV/atom
1.0
1.613 0.931 10.215
-1.613 0.931 10.215
0.000 -1.862 10.215
Tl Cd Ag
1 2 1
Direct
0.000 0.000 0.000 Tl
0.243 0.243 0.243 Cd
0.757 0.757 0.757 Cd
0.500 0.500 0.500 Ag

---

(7)
PBE-GGA Tl2CdAg, optimized geometry; energy relative to the elements = 0.08 eV per atom; ρ = 10.2 Mg/m³; symmetry = Pm (6); ΔE to the lowest computed polymorph = 22 meV/atom
1.0
3.550 0.000 0.000
0.000 4.883 0.000
-1.660 0.000 5.895
Tl Cd Ag
2 1 1
Direct
0.000 0.000 0.000 Tl
0.309 0.500 0.651 Tl
0.723 0.000 0.456 Cd
0.575 0.500 0.179 Ag

---

(8)
PBE-GGA Tl2CdAg, optimized geometry; energy relative to the elements = 0.11 eV per atom; ρ = 10.2 Mg/m³; symmetry = Fm-3m (225); ΔE to the lowest computed polymorph = 57 meV/atom
1.0
0.000 3.708 3.708
3.708 0.000 3.708
3.708 3.708 0.000
Tl Cd Ag
2 1 1
Direct
0.250 0.250 0.250 Tl
0.750 0.750 0.750 Tl
0.000 0.000 0.000 Cd
0.500 0.500 0.500 Ag

---

(9)
PBE-GGA TlCd2Ag2, optimized geometry; energy relative to the elements = 0.09 eV per atom; ρ = 8.9 Mg/m³; symmetry = I4/mmm (139); ΔE to the lowest computed polymorph = 77 meV/atom
1.0
-2.126 2.126 6.659
2.126 -2.126 6.659
2.126 2.126 -6.659
Tl Cd Ag
1 2 2
Direct
0.000 0.000 0.000 Tl
0.250 0.750 0.500 Cd
0.750 0.250 0.500 Cd
0.397 0.397 0.000 Ag
0.603 0.603 0.000 Ag

---

(10)
PBE-GGA TlCd2Ag, optimized geometry; energy relative to the elements = 0.08 eV per atom; ρ = 9.7 Mg/m³; symmetry = I-4m2 (119); ΔE to the lowest computed polymorph = 57 meV/atom
1.0
-2.268 2.268 4.459
2.268 -2.268 4.459
2.268 2.268 -4.459
Tl Cd Ag
1 2 1
Direct
0.000 0.000 0.000 Tl
0.500 0.500 0.000 Cd
0.750 0.250 0.500 Cd
0.250 0.750 0.500 Ag

---

(11)
PBE-GGA Tl2CdAg, optimized geometry; energy relative to the elements = 0.10 eV per atom; ρ = 10.3 Mg/m³; symmetry = P4/mmm (123); ΔE to the lowest computed polymorph = 42 meV/atom
1.0
3.696 0.000 0.000
0.000 3.696 0.000
0.000 0.000 7.430
Tl Cd Ag
2 1 1
Direct
0.000 0.000 0.234 Tl
0.000 0.000 0.766 Tl
0.500 0.500 0.500 Cd
0.500 0.500 0.000 Ag

---

(12)
PBE-GGA TlCd5Ag6, optimized geometry; energy relative to the elements = 0.00 eV per atom; ρ = 9.8 Mg/m³; symmetry = C2/m (12)
1.0
4.495 -6.778 0.000
4.495 6.778 0.000
-2.233 0.000 3.923
Tl Cd Ag
1 5 6
Direct
0.000 0.000 0.000 Tl
0.168 0.832 0.500 Cd
0.333 0.667 0.000 Cd
0.500 0.500 0.500 Cd
0.667 0.333 0.000 Cd
0.832 0.168 0.500 Cd
0.084 0.423 0.254 Ag
0.259 0.259 0.759 Ag
0.423 0.084 0.254 Ag
0.577 0.916 0.746 Ag
0.741 0.741 0.241 Ag
0.916 0.577 0.746 Ag

---

(13)
PBE-GGA TlCd2Ag, optimized geometry; energy relative to the elements = 0.09 eV per atom; ρ = 9.7 Mg/m³; symmetry = Cmmm (65); ΔE to the lowest computed polymorph = 66 meV/atom
1.0
3.184 -4.366 0.000
3.184 4.366 0.000
0.000 0.000 3.313
Tl Cd Ag
1 2 1
Direct
0.000 0.000 0.000 Tl
0.000 0.500 0.500 Cd
0.500 0.000 0.500 Cd
0.500 0.500 0.000 Ag

---

(14)
PBE-GGA TlCd2Ag, optimized geometry; energy relative to the elements = 0.06 eV per atom; ρ = 9.6 Mg/m³; symmetry = C2/m (12); ΔE to the lowest computed polymorph = 36 meV/atom
1.0
5.098 -1.632 0.000
5.098 1.632 0.000
-1.147 0.000 5.584
Tl Cd Ag
1 2 1
Direct
0.000 0.000 0.000 Tl
0.237 0.237 0.726 Cd
0.763 0.763 0.274 Cd
0.500 0.500 0.500 Ag

---

no.,size of the total moment (μB per formula unit)
1,0.00
2,0.00
3,0.00
4,0.00
5,0.00
6,0.00
7,0.00
8,0.00
9,0.00
10,0.00
11,0.00
12,0.00
13,0.00
14,0.00